[1]
The following is a DFT calculation (SCAN) of CaMgTe2I at its PBEsol-relaxed geometry.

Formation energy from raw total energies, meV per atom: -701
Space group: P4/mmm
D(E_F), states/eV/cell: 2.347

Cell lengths 5.4154, 5.4154, 5.6933 Å; angles 90.00, 90.00, 90.00 degrees
Fractional coordinates of all 5 atoms:
Ca: 0.5000 0.5000 0.5000
Mg: 0.0000 0.0000 0.0000
Te: 0.0000 0.5000 0.0000
Te: 0.5000 0.0000 0.0000
I: 0.0000 0.0000 0.5000

=====

[2]
The following is a DFT calculation (SCAN) of HgAs2IrSe at its PBEsol-relaxed geometry.

Formation energy from raw total energies, meV per atom: 491
Space group: P4/mmm
D(E_F), states/eV/cell: 3.285

Cell lengths 4.6474, 4.6474, 5.3773 Å; angles 90.00, 90.00, 90.00 degrees
Fractional coordinates of all 5 atoms:
As: 0.0000 0.5000 0.0000
As: 0.5000 0.0000 0.0000
Ir: 0.0000 0.0000 0.0000
Hg: 0.5000 0.5000 0.5000
Se: 0.0000 0.0000 0.5000

=====

[3]
The following is a DFT calculation (SCAN) of AlCr2Cl at its PBEsol-relaxed geometry.

Excess energy over the best structure of this formula in the dataset, meV/atom: 539
Formation energy from raw total energies, meV per atom: 392
Space group: Immm
D(E_F), states/eV/cell: 3.368

Cell lengths 2.7553, 4.9214, 4.9749 Å; angles 119.64, 106.08, 90.00 degrees
Fractional coordinates of all 4 atoms:
Cl: 0.0000 0.5000 0.0000
Cr: 0.7296 0.7296 0.4592
Cr: 0.2704 0.2704 0.5408
Al: 0.5000 0.0000 0.0000

=====

[4]
The following is a DFT calculation (SCAN) of KCrHg2 at its PBEsol-relaxed geometry.

ΔE_f, kJ/mol of formula units: 7
Excess energy over the best structure of this formula in the dataset, meV/atom: 0
Space group: P4/mmm
D(E_F), states/eV/cell: 2.094

Cell lengths 3.4407, 3.4407, 8.1155 Å; angles 90.00, 90.00, 89.93 degrees
Fractional coordinates of all 4 atoms:
K: 0.5000 0.5000 0.5000
Hg: 0.0000 0.0000 0.8097
Hg: 0.0000 0.0000 0.1903
Cr: 0.5000 0.5000 0.0000

=====

[5]
The following is a DFT calculation (SCAN) of La2YSc at its PBEsol-relaxed geometry.

ΔE_f, kJ/mol of formula units: 19
Excess energy over the best structure of this formula in the dataset, meV/atom: 3
Space group: Pmmm
D(E_F), states/eV/cell: 4.223

Cell lengths 3.6234, 4.6040, 7.2813 Å; angles 90.00, 90.00, 90.00 degrees
Fractional coordinates of all 4 atoms:
La: 0.0000 0.0000 0.2349
La: 0.0000 0.0000 0.7651
Y: 0.5000 0.5000 0.5000
Sc: 0.5000 0.5000 0.0000

=====

[6]
The following is a DFT calculation (SCAN) of MgCuHAu2 at its PBEsol-relaxed geometry.

Space group: P4/mmm
D(E_F), states/eV/cell: 1.006

Cell lengths 3.0922, 5.0317, 5.0317 Å; angles 90.00, 90.00, 90.00 degrees
Fractional coordinates of all 5 atoms:
Cu: 0.5000 0.5000 0.5000
H: 0.5000 0.0000 0.0000
Au: 0.0000 0.5000 0.0000
Au: 0.0000 0.0000 0.5000
Mg: 0.0000 0.0000 0.0000

=====

[7]
The following is a DFT calculation (SCAN) of NiAg2As at its PBEsol-relaxed geometry.

ΔE_f, kJ/mol of formula units: 82
Space group: C2/m
D(E_F), states/eV/cell: 2.242

Cell lengths 2.9468, 4.4949, 4.9365 Å; angles 102.13, 107.37, 90.00 degrees
Fractional coordinates of all 4 atoms:
As: 0.0000 0.5000 0.0000
Ni: 0.5000 0.0000 0.0000
Ag: 0.2402 0.2419 0.4805
Ag: 0.7598 0.7581 0.5195

=====

[8]
The following is a DFT calculation (SCAN) of K2Ag2Te at its PBEsol-relaxed geometry.

Formation energy from raw total energies, meV per atom: -375
Space group: I4/mmm

Cell lengths 6.0408, 6.0408, 6.0408 Å; angles 98.39, 115.28, 115.28 degrees
Fractional coordinates of all 5 atoms:
Te: 0.0000 0.0000 0.0000
Ag: 0.0000 0.6611 0.6611
Ag: 0.0000 0.3389 0.3389
K: 0.5000 0.2500 0.7500
K: 0.5000 0.7500 0.2500

=====

[9]
The following is a DFT calculation (SCAN) of InPt at its PBEsol-relaxed geometry.

ΔE_f, kJ/mol of formula units: -78
Space group: I4_1/amd
D(E_F), states/eV/cell: 0.774

Cell lengths 3.9308, 3.9308, 5.2774 Å; angles 111.86, 111.86, 90.00 degrees
Fractional coordinates of all 4 atoms:
In: 0.2500 0.7500 0.5000
In: 0.0000 0.0000 0.0000
Pt: 0.7500 0.2500 0.5000
Pt: 0.5000 0.5000 0.0000

=====

[10]
The following is a DFT calculation (SCAN) of NbRh3Se at its PBEsol-relaxed geometry.

Formation energy from raw total energies, meV per atom: 595
Space group: Pm-3m
D(E_F), states/eV/cell: 5.254

Cell lengths 4.4692, 4.4692, 4.4692 Å; angles 90.00, 90.00, 90.00 degrees
Fractional coordinates of all 5 atoms:
Rh: 0.5000 0.0000 0.0000
Rh: 0.0000 0.0000 0.5000
Rh: 0.0000 0.5000 0.0000
Nb: 0.5000 0.5000 0.5000
Se: 0.0000 0.0000 0.0000

=====

[11]
The following is a DFT calculation (SCAN) of AgAu2 at its PBEsol-relaxed geometry.

ΔE_f, kJ/mol of formula units: -8
Excess energy over the best structure of this formula in the dataset, meV/atom: 46
Space group: P-62m
D(E_F), states/eV/cell: 2.239

Cell lengths 2.8075, 7.9017, 7.9017 Å; angles 120.00, 90.00, 90.00 degrees
Fractional coordinates of all 9 atoms:
Ag: 0.0000 0.3333 0.6667
Ag: 0.0000 0.6667 0.3333
Ag: 0.5000 0.0000 0.0000
Au: 0.0000 0.3079 0.0000
Au: 0.5000 0.6409 0.0000
Au: 0.0000 0.6921 0.6921
Au: 0.5000 0.3591 0.3591
Au: 0.5000 0.0000 0.6409
Au: 0.0000 0.0000 0.3079

=====

[12]
The following is a DFT calculation (SCAN) of HoScS3 at its PBEsol-relaxed geometry.

Formation energy from raw total energies, meV per atom: -2264
Space group: Pnma
D(E_F), states/eV/cell: 0.000

Cell lengths 6.2480, 6.9411, 9.3532 Å; angles 90.00, 90.00, 90.00 degrees
Fractional coordinates of all 20 atoms:
S: 0.8293 0.6821 0.5714
S: 0.8293 0.6821 0.9286
S: 0.3293 0.8179 0.0714
S: 0.3520 0.5475 0.7500
S: 0.6707 0.1821 0.5714
S: 0.6480 0.4525 0.2500
S: 0.6707 0.1821 0.9286
S: 0.8520 0.9525 0.2500
S: 0.3293 0.8179 0.4286
S: 0.1707 0.3179 0.0714
S: 0.1480 0.0475 0.7500
S: 0.1707 0.3179 0.4286
Sc: 0.5000 0.5000 0.0000
Sc: 0.0000 0.0000 0.0000
Sc: 0.0000 0.0000 0.5000
Sc: 0.5000 0.5000 0.5000
Ho: 0.9566 0.3937 0.7500
Ho: 0.4566 0.1063 0.2500
Ho: 0.5434 0.8937 0.7500
Ho: 0.0434 0.6063 0.2500

=====

[13]
The following is a DFT calculation (SCAN) of Sm2CN2O2 at its PBEsol-relaxed geometry.

Formation energy from raw total energies, meV per atom: -2368
Space group: P-3m1
D(E_F), states/eV/cell: 0.000

Cell lengths 3.8046, 3.8046, 8.2148 Å; angles 90.00, 90.00, 120.00 degrees
Fractional coordinates of all 7 atoms:
O: 0.6667 0.3333 0.1028
O: 0.3333 0.6667 0.8972
Sm: 0.6667 0.3333 0.8210
Sm: 0.3333 0.6667 0.1790
N: 0.0000 0.0000 0.3496
N: 0.0000 0.0000 0.6504
C: 0.0000 0.0000 0.5000

=====

[14]
The following is a DFT calculation (SCAN) of K3Au at its PBEsol-relaxed geometry.

ΔE_f, kJ/mol of formula units: -67
Space group: Pmmn
D(E_F), states/eV/cell: 5.063

Cell lengths 4.5132, 7.7178, 10.8062 Å; angles 90.00, 90.00, 90.00 degrees
Fractional coordinates of all 8 atoms:
K: 0.5000 0.2388 0.8287
K: 0.5000 0.0000 0.4657
K: 0.0000 0.2612 0.1713
K: 0.0000 0.5000 0.5343
K: 0.5000 0.7612 0.8287
K: 0.0000 0.7388 0.1713
Au: 0.5000 0.5000 0.3149
Au: 0.0000 0.0000 0.6851

=====

[15]
The following is a DFT calculation (SCAN) of RbNiWO3F3 at its PBEsol-relaxed geometry.

Formation energy from raw total energies, meV per atom: -2350
Space group: C2/c

Cell lengths 7.1578, 7.1578, 7.2081 Å; angles 118.53, 118.53, 91.31 degrees
Fractional coordinates of all 18 atoms:
F: 0.9149 0.0851 0.2500
F: 0.6543 0.9224 0.7514
F: 0.3457 0.0776 0.2486
F: 0.9224 0.6543 0.2514
F: 0.0776 0.3457 0.7486
F: 0.0851 0.9149 0.7500
O: 0.3060 0.6940 0.2500
O: 0.6940 0.3060 0.7500
O: 0.6982 0.9351 0.4048
O: 0.3018 0.0649 0.5952
O: 0.9351 0.6982 0.9048
O: 0.0649 0.3018 0.0952
Ni: 0.0000 0.0000 0.5000
Ni: 0.0000 0.0000 0.0000
W: 0.0000 0.5000 0.0000
W: 0.5000 0.0000 0.5000
Rb: 0.3626 0.6374 0.7500
Rb: 0.6374 0.3626 0.2500

=====

[16]
The following is a DFT calculation (SCAN) of SrAsSe2N at its PBEsol-relaxed geometry.

Formation energy from raw total energies, meV per atom: 968
Space group: P4/mmm
D(E_F), states/eV/cell: 2.373

Cell lengths 4.5788, 5.6601, 5.6601 Å; angles 90.00, 90.00, 90.00 degrees
Fractional coordinates of all 5 atoms:
Se: 0.0000 0.0000 0.5000
Se: 0.0000 0.5000 0.0000
N: 0.5000 0.0000 0.0000
As: 0.5000 0.5000 0.5000
Sr: 0.0000 0.0000 0.0000

=====

[17]
The following is a DFT calculation (SCAN) of La2Y at its PBEsol-relaxed geometry.

ΔE_f, kJ/mol of formula units: 10
Excess energy over the best structure of this formula in the dataset, meV/atom: 17
Space group: I4/mmm
D(E_F), states/eV/cell: 4.628

Cell lengths 3.6354, 3.6354, 7.9185 Å; angles 103.27, 103.27, 90.00 degrees
Fractional coordinates of all 3 atoms:
La: 0.3326 0.3326 0.6652
La: 0.6674 0.6674 0.3348
Y: 0.0000 0.0000 0.0000

=====

[18]
The following is a DFT calculation (SCAN) of TcSbAs at its PBEsol-relaxed geometry.

Excess energy over the best structure of this formula in the dataset, meV/atom: 165
Formation energy from raw total energies, meV per atom: 162
Space group: F-43m
D(E_F), states/eV/cell: 2.703

Cell lengths 4.3718, 4.3718, 4.3718 Å; angles 60.00, 60.00, 60.00 degrees
Fractional coordinates of all 3 atoms:
Tc: 0.2500 0.2500 0.2500
Sb: 0.5000 0.5000 0.5000
As: 0.0000 0.0000 0.0000

=====

[19]
The following is a DFT calculation (SCAN) of Ba2SrSe at its PBEsol-relaxed geometry.

Excess energy over the best structure of this formula in the dataset, meV/atom: 0
Formation energy from raw total energies, meV per atom: -1064
Space group: R-3m
D(E_F), states/eV/cell: 2.707

Cell lengths 4.4272, 4.4275, 11.6630 Å; angles 100.93, 90.00, 120.00 degrees
Fractional coordinates of all 4 atoms:
Sr: 0.5000 0.0000 0.0000
Se: 0.0000 0.0000 0.5000
Ba: 0.7237 0.4475 0.6712
Ba: 0.2763 0.5525 0.3288

=====

[20]
The following is a DFT calculation (SCAN) of SrBPdAu2 at its PBEsol-relaxed geometry.

ΔE_f, kJ/mol of formula units: 455
Space group: P4/mmm
D(E_F), states/eV/cell: 3.348

Cell lengths 5.0137, 5.0137, 5.2921 Å; angles 90.00, 90.00, 90.00 degrees
Fractional coordinates of all 5 atoms:
Pd: 0.0000 0.0000 0.0000
B: 0.5000 0.5000 0.5000
Au: 0.5000 0.0000 0.0000
Au: 0.0000 0.5000 0.0000
Sr: 0.0000 0.0000 0.5000

=====

Number 1: raw total energy -1.9020 Ry per atom, magnetic moment 0.00 μB per atom. Number 2: raw total energy -2.8998 Ry per atom, magnetic moment 0.00 μB per atom. Number 3: raw total energy -0.9358 Ry per atom, magnetic moment 1.32 μB per atom. Number 4: raw total energy -2.9946 Ry per atom, magnetic moment 1.14 μB per atom. Number 5: raw total energy -2.3536 Ry per atom, magnetic moment 0.00 μB per atom. Number 6: raw total energy -2.3528 Ry per atom, magnetic moment 0.00 μB per atom. Number 7: raw total energy -1.8052 Ry per atom, magnetic moment 0.00 μB per atom. Number 8: raw total energy -1.7422 Ry per atom, magnetic moment 0.00 μB per atom. Number 9: raw total energy -3.8363 Ry per atom, magnetic moment 0.00 μB per atom. Number 10: raw total energy -2.2277 Ry per atom, magnetic moment 0.58 μB per atom. Number 11: raw total energy -4.1592 Ry per atom, magnetic moment 0.00 μB per atom. Number 12: raw total energy -1.5203 Ry per atom, magnetic moment 0.00 μB per atom. Number 13: raw total energy -1.5393 Ry per atom, magnetic moment 0.00 μB per atom. Number 14: raw total energy -1.7426 Ry per atom, magnetic moment 0.02 μB per atom. Number 15: raw total energy -1.2827 Ry per atom, magnetic moment 0.22 μB per atom. Number 16: raw total energy -1.2800 Ry per atom, magnetic moment 0.40 μB per atom. Number 17: raw total energy -2.7918 Ry per atom, magnetic moment 0.15 μB per atom. Number 18: raw total energy -2.2546 Ry per atom, magnetic moment 0.09 μB per atom. Number 19: raw total energy -2.3099 Ry per atom, magnetic moment 0.03 μB per atom. Number 20: raw total energy -2.8823 Ry per atom, magnetic moment 0.22 μB per atom.